1.
A relaxed structure of TaZn2Cu, computed with PBE.

Results
Its formation energy is -0.18 eV/f.u.

a b c (Å): 2.843 2.843 7.234
angles (deg): 90.00 90.00 89.99
Element x y z (fractional)
Zn: 0.000 0.000 0.473
Zn: 0.000 0.000 0.027
Cu: 0.500 0.500 0.250
Ta: 0.500 0.500 0.750

2.
A relaxed structure of TaZn2Cu, computed with PBE.

Results
Its formation energy is 1.68 eV/f.u.

a b c (Å): 6.912 6.912 5.565
angles (deg): 51.61 51.61 90.00
Element x y z (fractional)
Cu: 0.500 0.500 0.000
Cu: 0.250 0.750 0.500
Zn: 0.375 0.404 0.750
Zn: 0.875 0.846 0.750
Zn: 0.154 0.625 0.250
Zn: 0.596 0.125 0.250
Ta: 0.000 0.000 0.000
Ta: 0.750 0.250 0.500